Entry 1:
# MgMn3Pd (GGA-PBE, optimized geometry)
data_MgMn3Pd
_cell_length_a 4.856
_cell_length_b 4.856
_cell_length_c 4.856
_cell_angle_alpha 90.00
_cell_angle_beta 90.00
_cell_angle_gamma 90.00
_symmetry_space_group_name_H-M 'P m -3 m'
_symmetry_Int_Tables_number 221
_symmetry_space_group_name_Hall '-P 4 2 3'
loop_
_atom_site_label
_atom_site_fract_x
_atom_site_fract_y
_atom_site_fract_z
_atom_site_occupancy
Mg1 0.000 0.000 0.000 1
Mn1 0.000 0.500 0.500 1
Pd1 0.500 0.500 0.500 1
# **ΔE to the lowest computed polymorph**: 0.00 eV per formula unit
# **ρ**: 4.29 Mg/m³
# **Calculated formation energy**: 0.77 eV/atom

Entry 2:
# MgMnPd (GGA-PBE, optimized geometry)
data_MgMnPd
_cell_length_a 4.626
_cell_length_b 9.171
_cell_length_c 4.644
_cell_angle_alpha 90.00
_cell_angle_beta 90.00
_cell_angle_gamma 90.00
_symmetry_space_group_name_H-M 'C m c m'
_symmetry_Int_Tables_number 63
_symmetry_space_group_name_Hall '-C 2c 2'
loop_
_atom_site_label
_atom_site_fract_x
_atom_site_fract_y
_atom_site_fract_z
_atom_site_occupancy
Mg1 0.000 0.095 0.250 1
Mn1 0.000 0.407 0.250 1
Pd1 0.000 0.255 0.750 1
# **ρ**: 6.26 Mg/m³
# **Calculated formation energy**: -0.19 eV/atom

Entry 3:
# MgMn2Pd8 (GGA-PBE, optimized geometry)
data_MgMn2Pd8
_cell_length_a 4.189
_cell_length_b 6.990
_cell_length_c 11.858
_cell_angle_alpha 90.00
_cell_angle_beta 90.00
_cell_angle_gamma 90.00
_symmetry_space_group_name_H-M 'I m m m'
_symmetry_Int_Tables_number 71
_symmetry_space_group_name_Hall '-I 2 2'
loop_
_atom_site_label
_atom_site_fract_x
_atom_site_fract_y
_atom_site_fract_z
_atom_site_occupancy
Mg1 0.000 0.000 0.000 1
Mn1 0.000 0.000 0.302 1
Pd1 0.000 0.194 0.500 1
Pd2 0.000 0.284 0.156 1
Pd3 0.000 0.500 0.351 1
# **ρ**: 9.43 Mg/m³
# **Calculated formation energy**: -0.23 eV/atom

Entry 4:
# Mg2MnPd4 (GGA-PBE, optimized geometry)
data_Mg2MnPd4
_cell_length_a 6.116
_cell_length_b 6.116
_cell_length_c 6.275
_cell_angle_alpha 90.00
_cell_angle_beta 90.00
_cell_angle_gamma 90.00
_symmetry_space_group_name_H-M 'I 4/m m m'
_symmetry_Int_Tables_number 139
_symmetry_space_group_name_Hall '-I 4 2'
loop_
_atom_site_label
_atom_site_fract_x
_atom_site_fract_y
_atom_site_fract_z
_atom_site_occupancy
Mg1 0.000 0.500 0.000 1
Mn1 0.000 0.000 0.000 1
Pd1 0.250 0.250 0.250 1
# **ρ**: 7.49 Mg/m³
# **Calculated formation energy**: -0.37 eV/atom

Entry 5:
# Mg2MnPd5 (GGA-PBE, optimized geometry)
data_Mg2MnPd5
_cell_length_a 5.492
_cell_length_b 10.665
_cell_length_c 4.263
_cell_angle_alpha 90.00
_cell_angle_beta 90.00
_cell_angle_gamma 90.00
_symmetry_space_group_name_H-M 'P b a m'
_symmetry_Int_Tables_number 55
loop_
_symmetry_equiv_pos_as_xyz
'x,y,z'
'-x,-y,-z'
'-x,-y,z'
'x,y,-z'
'x+1/2,-y+1/2,-z'
'-x+1/2,y+1/2,z'
'-x+1/2,y+1/2,-z'
'x+1/2,-y+1/2,z'
loop_
_atom_site_label
_atom_site_fract_x
_atom_site_fract_y
_atom_site_fract_z
_atom_site_occupancy
Mg1 0.167 0.137 0.000 1
Mn1 0.000 0.500 0.500 1
Pd1 0.000 0.000 0.500 1
Pd2 0.104 0.742 0.500 1
Pd3 0.177 0.390 0.000 1
# **ρ**: 8.45 Mg/m³
# **Calculated formation energy**: -0.51 eV/atom

Entry 6:
# Mg2MnPd2 (GGA-PBE, optimized geometry)
data_Mg2MnPd2
_cell_length_a 6.807
_cell_length_b 6.807
_cell_length_c 3.784
_cell_angle_alpha 90.00
_cell_angle_beta 90.00
_cell_angle_gamma 90.00
_symmetry_space_group_name_H-M 'P 4/m b m'
_symmetry_Int_Tables_number 127
_symmetry_space_group_name_Hall '-P 4 2ab'
loop_
_atom_site_label
_atom_site_fract_x
_atom_site_fract_y
_atom_site_fract_z
_atom_site_occupancy
Mg1 0.161 0.339 0.000 1
Mn1 0.000 0.000 0.500 1
Pd1 0.142 0.642 0.500 1
# **ΔE to the lowest computed polymorph**: 0.00 eV per formula unit
# **ρ**: 5.99 Mg/m³
# **Calculated formation energy**: -0.36 eV/atom